This record from the Alexandria database describes a geometry-optimized HfZr4S structure. The functional is GGA-PBE.

Computed properties:
Crystal system: monoclinic
Formation energy without anion corrections (eV per atom): -0.46
Magnetization (μB per formula unit): 0.00
ρ (g/cm3): 7.24

Lattice parameters (Å, degrees): 14.806 5.946 6.139 90.00 102.39 90.00
Space group C2/c (No. 15)
Asymmetric unit:
Hf 0.000 0.012 0.250 (multiplicity 4)
Zr 0.096 0.399 0.027 (multiplicity 8)
Zr 0.184 0.117 0.611 (multiplicity 8)
S 0.250 0.250 0.000 (multiplicity 4)